Here is a relaxed PrNd2Y crystal from Alexandria via LeMat-Bulk. Energies are from GGA-PBE.

Values from the calculation:
D(E_F)	6.406	states/eV per cell
relative energy among the computed polymorphs	0	meV per atom
space-group type	R3m
uncorrected energy	-5.184	eV/atom
E_form	0.0106	eV/atom

Cell: 3.682 3.682 12.071 Å, 81.23 81.23 60.00°
Atoms (fractional coordinates):
Pr (0.667, 0.667, 0.998)
Nd (0.085, 0.085, 0.746)
Nd (0.248, 0.248, 0.256)
Y (0.500, 0.500, 0.500)